# 1
First-principles (PBE) data for an optimized crystal structure of La4CeSm3As8, as listed in the Alexandria database.

Its formation energy is -1540 meV per atom. Its total energy is -101.631 eV for the cell shown. For the total magnetization, the calculation gives 0.5 μB/f.u. The value obtained for the calculated volume is 448.85 Å³/cell. The density of states at the Fermi level comes out at 0.41 states/eV per atom.

abc: 8.5907 8.5982 8.5903
angles: 119.97 120.00 90.00
With the nearest neighbours (Å) after each atom.
Fractional positions:
Ce 0.0000 0.5000 0.0000  6 As 2.99
As 0.2514 0.2591 0.0052  1 Ce 2.99, 2 Sm 3.01, 3 La 3.07-3.09
As 0.2462 0.7410 0.4924  1 Ce 2.99, 2 Sm 3.01, 3 La 3.07-3.09
As 0.7538 0.2590 0.5077  1 Ce 2.99, 2 Sm 3.01, 3 La 3.07-3.09
As 0.7539 0.2591 0.0052  1 Ce 2.99, 2 Sm 3.01, 3 La 3.07-3.09
As 0.7486 0.7409 0.9948  1 Ce 2.99, 2 Sm 3.01, 3 La 3.07-3.09
As 0.2461 0.7409 0.9948  1 Ce 2.99, 2 Sm 3.01, 3 La 3.07-3.09
As 0.7476 0.7428 0.4952  3 Sm 3.01, 3 La 3.07
As 0.2524 0.2572 0.5048  3 Sm 3.01, 3 La 3.07
La 0.0000 0.0000 0.5000  6 As 3.07
La 0.5000 0.0000 0.0000  6 As 3.09
La 0.0000 0.0000 0.0000  6 As 3.07
La 0.5000 0.0000 0.5000  6 As 3.07
Sm 0.5000 0.5000 0.5000  6 As 3.01
Sm 0.0000 0.5000 0.5000  6 As 3.01
Sm 0.5000 0.5000 0.0000  6 As 3.01

# 2
First-principles (PBE) data for an optimized crystal structure of La2CeSmAs4, as listed in the Alexandria database.

Its formation energy is -1527 meV per atom. Its total energy is -51.318 eV for the cell shown. For the total magnetization, the calculation gives 0.6 μB/f.u. The value obtained for the calculated volume is 224.28 Å³/cell. The density of states at the Fermi level comes out at 0.78 states/eV per atom.

abc: 4.2949 7.4334 7.4489
angles: 109.42 90.00 90.00
With the nearest neighbours (Å) after each atom.
Fractional positions:
As 0.5000 0.7511 0.7590  1 Ce 2.99, 2 Sm 3.01, 3 La 3.07-3.09
As 0.0000 0.2545 0.7600  2 Ce 2.99, 1 Sm 3.00, 3 La 3.07-3.08
As 0.0000 0.7455 0.2400  2 Ce 2.99, 1 Sm 3.00, 3 La 3.07-3.08
As 0.5000 0.2489 0.2410  1 Ce 2.99, 2 Sm 3.01, 3 La 3.07-3.09
Sm 0.0000 0.0000 0.0000  6 As 3.00-3.01
Ce 0.5000 0.5000 0.0000  6 As 2.99
La 0.5000 0.0000 0.5000  6 As 3.08-3.09
La 0.0000 0.5000 0.5000  6 As 3.07

# 3
First-principles (PBE) data for an optimized crystal structure of La3Ce2SmAs6, as listed in the Alexandria database.

Its formation energy is -1519 meV per atom. Its total energy is -77.490 eV for the cell shown. For the total magnetization, the calculation gives 1.2 μB/f.u. The value obtained for the calculated volume is 336.42 Å³/cell. The density of states at the Fermi level comes out at 0.98 states/eV per atom.

abc: 7.4354 7.4354 7.4503
angles: 99.57 99.57 119.99
With the nearest neighbours (Å) after each atom.
Fractional positions:
As 0.0800 0.4154 0.2400  2 Ce 2.99, 1 Sm 3.01, 3 La 3.07-3.09
As 0.5846 0.9200 0.7600  2 Ce 2.99, 1 Sm 3.01, 3 La 3.07-3.09
As 0.4154 0.0800 0.2400  2 Ce 2.99, 1 Sm 3.01, 3 La 3.07-3.09
As 0.7446 0.7446 0.2402  2 Ce 2.99, 1 Sm 3.01, 3 La 3.07-3.08
As 0.2554 0.2554 0.7598  2 Ce 2.99, 1 Sm 3.01, 3 La 3.07-3.08
As 0.9200 0.5846 0.7600  2 Ce 2.99, 1 Sm 3.01, 3 La 3.07-3.09
Sm 0.0000 0.0000 0.0000  6 As 3.01
La 0.5000 0.5000 0.5000  6 As 3.07-3.09
La 0.8338 0.1662 0.5000  6 As 3.07-3.09
La 0.1662 0.8338 0.5000  6 As 3.07-3.09
Ce 0.6668 0.3332 0.0000  6 As 2.99
Ce 0.3332 0.6668 0.0000  6 As 2.99

# 4
First-principles (PBE) data for an optimized crystal structure of Sr3LaCe2As6, as listed in the Alexandria database.

Its formation energy is -1264 meV per atom. Its total energy is -64.909 eV for the cell shown. For the total magnetization, the calculation gives 0.0 μB/f.u. The value obtained for the calculated volume is 355.25 Å³/cell. The density of states at the Fermi level comes out at 1.22 states/eV per atom.

abc: 7.5846 7.5846 7.5700
angles: 99.63 99.63 120.04
With the nearest neighbours (Å) after each atom.
Fractional positions:
As 0.4187 0.0747 0.2237  2 Ce 2.95-2.96, 1 La 3.06, 3 Sr 3.16-3.24
As 0.0747 0.4187 0.2237  2 Ce 2.95-2.96, 1 La 3.06, 3 Sr 3.16-3.24
As 0.7306 0.7306 0.2236  2 Ce 2.96, 1 La 3.06, 3 Sr 3.14-3.22
As 0.9253 0.5813 0.7763  2 Ce 2.95-2.96, 1 La 3.06, 3 Sr 3.16-3.24
As 0.5813 0.9253 0.7763  2 Ce 2.95-2.96, 1 La 3.06, 3 Sr 3.16-3.24
As 0.2694 0.2694 0.7764  2 Ce 2.96, 1 La 3.06, 3 Sr 3.14-3.22
Ce 0.3332 0.6668 0.0000  6 As 2.95-2.96
Ce 0.6668 0.3332 0.0000  6 As 2.95-2.96
Sr 0.8355 0.1645 0.5000  6 As 3.16-3.24
Sr 0.1645 0.8355 0.5000  6 As 3.16-3.24
Sr 0.5000 0.5000 0.5000  6 As 3.14-3.24
La 0.0000 0.0000 0.0000  6 As 3.06

# 5
First-principles (PBE) data for an optimized crystal structure of Sr2LaCeAs4, as listed in the Alexandria database.

Its formation energy is -1246 meV per atom. Its total energy is -42.790 eV for the cell shown. For the total magnetization, the calculation gives 0.0 μB/f.u. The value obtained for the calculated volume is 239.57 Å³/cell. The density of states at the Fermi level comes out at 1.21 states/eV per atom.

abc: 4.3903 7.6179 7.6012
angles: 109.54 90.00 90.00
With the nearest neighbours (Å) after each atom.
Fractional positions:
Ce 0.0000 0.0000 0.0000  6 As 2.96-2.97
As 0.0000 0.7523 0.2289  1 Ce 2.96, 2 La 3.05, 3 Sr 3.17-3.25
As 0.0000 0.2477 0.7711  1 Ce 2.96, 2 La 3.05, 3 Sr 3.17-3.25
As 0.5000 0.7679 0.7768  2 Ce 2.97, 1 La 3.06, 3 Sr 3.17-3.25
As 0.5000 0.2321 0.2232  2 Ce 2.97, 1 La 3.06, 3 Sr 3.17-3.25
Sr 0.0000 0.5000 0.5000  6 As 3.25
Sr 0.5000 0.0000 0.5000  6 As 3.17
La 0.5000 0.5000 0.0000  6 As 3.05-3.06

# 6
First-principles (PBE) data for an optimized crystal structure of La2TbCe3As6, as listed in the Alexandria database.

Its formation energy is -1487 meV per atom. Its total energy is -78.034 eV for the cell shown. For the total magnetization, the calculation gives 2.0 μB/f.u. The value obtained for the calculated volume is 327.81 Å³/cell. The density of states at the Fermi level comes out at 1.37 states/eV per atom.

abc: 7.3764 7.3764 7.3794
angles: 99.60 99.60 120.00
With the nearest neighbours (Å) after each atom.
Fractional positions:
Tb 0.0000 0.0000 0.0000  6 As 2.99-3.00
La 0.3339 0.6661 0.0000  6 As 3.06
La 0.6661 0.3339 0.0000  6 As 3.06
As 0.0850 0.4114 0.2555  3 Ce 2.97-3.02, 1 Tb 2.99, 2 La 3.06
As 0.2403 0.2403 0.7429  3 Ce 2.97-3.03, 1 Tb 3.00, 2 La 3.06
As 0.5886 0.9150 0.7445  3 Ce 2.97-3.02, 1 Tb 2.99, 2 La 3.06
As 0.4114 0.0850 0.2555  3 Ce 2.97-3.02, 1 Tb 2.99, 2 La 3.06
As 0.7597 0.7597 0.2571  3 Ce 2.97-3.03, 1 Tb 3.00, 2 La 3.06
As 0.9150 0.5886 0.7445  3 Ce 2.97-3.02, 1 Tb 2.99, 2 La 3.06
Ce 0.8319 0.1681 0.5000  6 As 2.97-3.02
Ce 0.1681 0.8319 0.5000  6 As 2.97-3.02
Ce 0.5000 0.5000 0.5000  6 As 2.97-3.03

- Which value of total magnetization does entry 1 give?
  0.5 μB/f.u.